[1]
A relaxed structure of InCo2Ag. Source: Alexandria via LeMat-Bulk, functional PBE-GGA.

Cell and atoms, written as CIF:
```
data_InCo2Ag
_space_group_name_H-M_alt 'P 1'
_space_group_IT_number 1
_space_group_name_Hall 'P 1'
_cell_length_a 3.175
_cell_length_b 3.155
_cell_length_c 6.745
_cell_angle_alpha 62.09
_cell_angle_beta 90.00
_cell_angle_gamma 90.00
loop_
_atom_site_label
_atom_site_fract_x
_atom_site_fract_y
_atom_site_fract_z
Co1 0.000 0.000 0.000
Co2 0.000 0.500 0.500
In1 0.500 0.250 0.250
Ag1 0.500 0.750 0.750
```

Values from the calculation:
Energy relative to the elements   0.38 eV/atom
Final energy   -18.29 eV per formula unit
ρ   9.47 g cm⁻³
DOS(E_F)   6.74 states/eV/cell
Calculated volume   14.92 A^3/atom

=====

[2]
A relaxed structure of La6In2CoAg. Source: Alexandria via LeMat-Bulk, functional PBE-GGA.

Cell and atoms, written as CIF:
```
data_La6In2CoAg
_space_group_name_H-M_alt 'P 1'
_space_group_IT_number 1
_space_group_name_Hall 'P 1'
_cell_length_a 6.712
_cell_length_b 9.036
_cell_length_c 9.026
_cell_angle_alpha 119.94
_cell_angle_beta 132.37
_cell_angle_gamma 89.97
loop_
_atom_site_label
_atom_site_fract_x
_atom_site_fract_y
_atom_site_fract_z
Co1 0.866 0.955 0.909
La1 0.271 0.809 0.160
La2 0.738 0.886 0.110
La3 0.734 0.224 0.852
La4 0.268 0.109 0.917
La5 0.734 0.626 0.509
La6 0.270 0.353 0.462
In1 0.871 0.291 0.582
In2 0.213 0.738 0.475
Ag1 0.534 0.513 0.022
```

Values from the calculation:
Energy relative to the elements   -0.23 eV/atom
Final energy   -47.26 eV per formula unit
ρ   6.84 g cm⁻³
DOS(E_F)   10.55 states/eV/cell
Calculated volume   29.84 A^3/atom

=====

[3]
A relaxed structure of La4InCoAg. Source: Alexandria via LeMat-Bulk, functional PBE-GGA.

Cell and atoms, written as CIF:
```
data_La4InCoAg
_space_group_name_H-M_alt 'P 1'
_space_group_IT_number 1
_space_group_name_Hall 'P 1'
_cell_length_a 7.315
_cell_length_b 7.324
_cell_length_c 9.009
_cell_angle_alpha 90.00
_cell_angle_beta 113.95
_cell_angle_gamma 90.00
loop_
_atom_site_label
_atom_site_fract_x
_atom_site_fract_y
_atom_site_fract_z
La1 0.069 0.750 0.137
La2 0.000 0.500 0.500
La3 0.424 0.750 0.848
La4 0.500 0.000 0.500
La5 0.576 0.250 0.152
La6 0.500 0.500 0.500
La7 0.931 0.250 0.863
La8 0.000 0.000 0.500
Co1 0.754 0.250 0.508
Co2 0.246 0.750 0.492
In1 0.385 0.250 0.771
In2 0.615 0.750 0.229
Ag1 0.119 0.250 0.238
Ag2 0.881 0.750 0.762
```

Values from the calculation:
Energy relative to the elements   -0.18 eV/atom
Final energy   -33.68 eV per formula unit
ρ   6.30 g cm⁻³
DOS(E_F)   19.62 states/eV/cell
Calculated volume   31.50 A^3/atom

=====

[4]
A relaxed structure of LuInCoAg. Source: Alexandria via LeMat-Bulk, functional PBE-GGA.

Cell and atoms, written as CIF:
```
data_LuInCoAg
_space_group_name_H-M_alt 'P 1'
_space_group_IT_number 1
_space_group_name_Hall 'P 1'
_cell_length_a 4.721
_cell_length_b 4.721
_cell_length_c 4.721
_cell_angle_alpha 60.00
_cell_angle_beta 60.00
_cell_angle_gamma 60.00
loop_
_atom_site_label
_atom_site_fract_x
_atom_site_fract_y
_atom_site_fract_z
Ag1 0.250 0.250 0.250
Co1 0.750 0.750 0.750
In1 0.500 0.500 0.500
Lu1 0.000 0.000 0.000
```

Values from the calculation:
Energy relative to the elements   -0.15 eV/atom
Final energy   -17.81 eV per formula unit
ρ   10.19 g cm⁻³
DOS(E_F)   2.99 states/eV/cell
Calculated volume   18.60 A^3/atom

=====

[5]
A relaxed structure of InCo2AgN. Source: Alexandria via LeMat-Bulk, functional PBE-GGA.

Cell and atoms, written as CIF:
```
data_InCo2AgN
_space_group_name_H-M_alt 'P 1'
_space_group_IT_number 1
_space_group_name_Hall 'P 1'
_cell_length_a 4.769
_cell_length_b 5.110
_cell_length_c 4.769
_cell_angle_alpha 90.00
_cell_angle_beta 90.00
_cell_angle_gamma 90.00
loop_
_atom_site_label
_atom_site_fract_x
_atom_site_fract_y
_atom_site_fract_z
Co1 0.500 0.000 0.000
Co2 0.000 0.000 0.500
N1 0.500 0.500 0.500
In1 0.000 0.000 0.000
Ag1 0.000 0.500 0.000
```

Values from the calculation:
Final energy   -16.05 eV per formula unit
ρ   5.06 g cm⁻³
DOS(E_F)   4.68 states/eV/cell
Calculated volume   23.25 A^3/atom

=====

[6]
A relaxed structure of Sc5In2Co2Ag. Source: Alexandria via LeMat-Bulk, functional PBE-GGA.

Cell and atoms, written as CIF:
```
data_Sc5In2Co2Ag
_space_group_name_H-M_alt 'P 1'
_space_group_IT_number 1
_space_group_name_Hall 'P 1'
_cell_length_a 3.347
_cell_length_b 10.890
_cell_length_c 10.890
_cell_angle_alpha 90.00
_cell_angle_beta 90.00
_cell_angle_gamma 90.00
loop_
_atom_site_label
_atom_site_fract_x
_atom_site_fract_y
_atom_site_fract_z
Sc1 0.500 0.426 0.291
Sc2 0.500 0.074 0.791
Sc3 0.500 0.291 0.574
Sc4 0.500 0.926 0.209
Sc5 0.500 0.000 0.500
Sc6 0.500 0.500 0.000
Sc7 0.500 0.791 0.926
Sc8 0.500 0.209 0.074
Sc9 0.500 0.709 0.426
Sc10 0.500 0.574 0.709
In1 0.000 0.827 0.673
In2 0.000 0.327 0.827
In3 0.000 0.673 0.173
In4 0.000 0.173 0.327
Co1 0.000 0.631 0.869
Co2 0.000 0.369 0.131
Co3 0.000 0.131 0.631
Co4 0.000 0.869 0.369
Ag1 0.000 0.000 0.000
Ag2 0.000 0.500 0.500
```

Values from the calculation:
Energy relative to the elements   -0.35 eV/atom
Final energy   -57.71 eV per formula unit
ρ   5.69 g cm⁻³
DOS(E_F)   12.55 states/eV/cell
Calculated volume   19.85 A^3/atom

=====

[7]
A relaxed structure of InCoAgTe2. Source: Alexandria via LeMat-Bulk, functional PBE-GGA.

Cell and atoms, written as CIF:
```
data_InCoAgTe2
_space_group_name_H-M_alt 'P 1'
_space_group_IT_number 1
_space_group_name_Hall 'P 1'
_cell_length_a 5.500
_cell_length_b 4.886
_cell_length_c 5.500
_cell_angle_alpha 90.00
_cell_angle_beta 90.00
_cell_angle_gamma 90.00
loop_
_atom_site_label
_atom_site_fract_x
_atom_site_fract_y
_atom_site_fract_z
In1 0.500 0.500 0.500
Te1 0.500 0.000 0.000
Te2 0.000 0.000 0.500
Co1 0.000 0.500 0.000
Ag1 0.000 0.000 0.000
```

Values from the calculation:
Final energy   -15.53 eV per formula unit
ρ   6.03 g cm⁻³
DOS(E_F)   5.66 states/eV/cell
Calculated volume   29.56 A^3/atom

=====

[8]
A relaxed structure of TiIn2CoAg. Source: Alexandria via LeMat-Bulk, functional PBE-GGA.

Cell and atoms, written as CIF:
```
data_TiIn2CoAg
_space_group_name_H-M_alt 'P 1'
_space_group_IT_number 1
_space_group_name_Hall 'P 1'
_cell_length_a 4.995
_cell_length_b 4.726
_cell_length_c 4.995
_cell_angle_alpha 90.00
_cell_angle_beta 90.00
_cell_angle_gamma 90.00
loop_
_atom_site_label
_atom_site_fract_x
_atom_site_fract_y
_atom_site_fract_z
Co1 0.000 0.500 0.000
In1 0.000 0.000 0.500
In2 0.500 0.000 0.000
Ti1 0.500 0.500 0.500
Ag1 0.000 0.000 0.000
```

Values from the calculation:
Energy relative to the elements   1.12 eV/atom
Final energy   -17.74 eV per formula unit
ρ   6.26 g cm⁻³
DOS(E_F)   9.19 states/eV/cell
Calculated volume   23.58 A^3/atom

=====

[9]
A relaxed structure of ZrInCoAg. Source: Alexandria via LeMat-Bulk, functional PBE-GGA.

Cell and atoms, written as CIF:
```
data_ZrInCoAg
_space_group_name_H-M_alt 'P 1'
_space_group_IT_number 1
_space_group_name_Hall 'P 1'
_cell_length_a 4.652
_cell_length_b 4.652
_cell_length_c 4.652
_cell_angle_alpha 60.00
_cell_angle_beta 60.00
_cell_angle_gamma 60.00
loop_
_atom_site_label
_atom_site_fract_x
_atom_site_fract_y
_atom_site_fract_z
In1 0.750 0.750 0.750
Zr1 0.250 0.250 0.250
Co1 0.000 0.000 0.000
Ag1 0.500 0.500 0.500
```

Values from the calculation:
Energy relative to the elements   -0.08 eV/atom
Final energy   -21.57 eV per formula unit
ρ   8.70 g cm⁻³
DOS(E_F)   3.21 states/eV/cell
Calculated volume   17.79 A^3/atom

=====

[10]
A relaxed structure of CoAgIr2. Source: Alexandria via LeMat-Bulk, functional PBE-GGA.

Cell and atoms, written as CIF:
```
data_CoAgIr2
_space_group_name_H-M_alt 'P 1'
_space_group_IT_number 1
_space_group_name_Hall 'P 1'
_cell_length_a 3.934
_cell_length_b 3.857
_cell_length_c 3.857
_cell_angle_alpha 90.00
_cell_angle_beta 90.00
_cell_angle_gamma 90.00
loop_
_atom_site_label
_atom_site_fract_x
_atom_site_fract_y
_atom_site_fract_z
Ag1 0.500 0.500 0.000
Ir1 0.000 0.500 0.500
Ir2 0.000 0.000 0.000
Co1 0.500 0.000 0.500
```

Values from the calculation:
Relative energy among the computed polymorphs   298 meV/atom
Energy relative to the elements   0.49 eV/atom
Final energy   -25.70 eV per formula unit
ρ   15.64 g cm⁻³
DOS(E_F)   6.57 states/eV/cell
Calculated volume   14.63 A^3/atom

=====

- Which of these has the lowest final energy?
  Sc5In2Co2Ag

=====

- Which formula does entry 2 have?
  La6In2CoAg